Density functional theory data (PBE) for a relaxed MnN crystal.

Results
density of states at the Fermi level = 5.55 states/eV per cell
energy relative to the elements, uncorrected = -251 meV/atom
symmetry = I4/m
V = 21.6 Å³/f.u.

a b c (Å): 5.5349 5.5349 5.5349
angles (deg): 94.38 94.38 147.90
Sites, in units of the cell vectors:
Mn: 0.1376 0.6844 0.8220
Mn: 0.3156 0.1376 0.4532
Mn: 0.6844 0.8624 0.5468
Mn: 0.8624 0.3156 0.1780
N: 0.0960 0.2533 0.3493
N: 0.2533 0.9040 0.1573
N: 0.7467 0.0960 0.8427
N: 0.9040 0.7467 0.6507

***

Density functional theory data (PBE) for a relaxed MnN crystal.

Results
density of states at the Fermi level = 9.78 states/eV per cell
energy relative to the elements, uncorrected = -281 meV/atom
symmetry = Pmmn
V = 20.8 Å³/f.u.

a b c (Å): 3.0156 9.3042 4.4398
angles (deg): 90.00 90.00 90.00
Sites, in units of the cell vectors:
Mn: 0.2500 0.1026 0.0408
Mn: 0.2500 0.3974 0.0408
Mn: 0.2500 0.7500 0.4293
Mn: 0.7500 0.2500 0.5707
Mn: 0.7500 0.6026 0.9592
Mn: 0.7500 0.8974 0.9592
N: 0.2500 0.2500 0.3173
N: 0.2500 0.5855 0.2006
N: 0.2500 0.9145 0.2006
N: 0.7500 0.0855 0.7994
N: 0.7500 0.4145 0.7994
N: 0.7500 0.7500 0.6827